4
Lattice="-8.0339 7.8439 -3.4952 -9.7307 5.0221 -4.2872 -9.8863 6.2648 -1.1407" Properties=species:S:1:pos:R:3 comment="PBE-GGA TlHg2Pb, relaxed" magnetic_moment_mub_per_atom=0.00 sg=R-3m formation_enthalpy_0k_mev_per_atom=15 dos_at_fermi_per_ev_atom=0.40 pbc="T T T"
Pb -6.9127 4.7827 -2.2308
Tl -20.7382 14.3482 -6.6923
Hg -0.0475 0.0328 -0.0153
Hg -13.7780 9.5326 -4.4462

13
Lattice="-1.6187 -6.6355 -0.0375 0.4656 -0.0614 -9.2313 7.1028 0.3536 4.9835" Properties=species:S:1:pos:R:3 comment="PBE-GGA Tl2Hg3Pb8, relaxed" magnetic_moment_mub_per_atom=0.00 sg=C2/m formation_enthalpy_0k_mev_per_atom=120 e_above_lowest_polymorph_ev_per_atom=0.078 dos_at_fermi_per_ev_atom=0.39 pbc="T T T"
Tl 4.8782 -2.0087 0.2594
Tl 1.0716 -4.3346 -4.5447
Hg -0.8093 -3.3177 -0.0188
Hg 0.1506 -0.0199 -2.9854
Hg 0.3150 -0.0415 -6.2459
Pb 2.8273 -1.2045 -4.4770
Pb 3.1225 -5.1388 0.1917
Pb 0.1388 -6.3931 0.0495
Pb 5.8109 0.0499 -4.3348
Pb 4.3390 -3.8291 -2.6229
Pb 4.0505 -3.7910 3.0967
Pb 1.8992 -2.5522 -7.3820
Pb 1.6107 -2.5142 -1.6624

18
Lattice="-2.8953 1.2212 -3.8276 6.5309 -4.2418 -6.2935 -4.8289 -8.7244 0.8692" Properties=species:S:1:pos:R:3 comment="PBE-GGA TlHg6Pb2, relaxed" magnetic_moment_mub_per_atom=0.00 sg=Pnnm formation_enthalpy_0k_mev_per_atom=34 e_above_lowest_polymorph_ev_per_atom=0.002 dos_at_fermi_per_ev_atom=0.40 pbc="T T T"
Tl 1.8178 -1.5103 -5.0605
Tl -2.4145 -4.3622 0.4346
Hg -0.6139 -1.4944 -0.0127
Hg -1.1325 -6.1632 -7.5167
Hg -2.7841 -8.9802 -7.1662
Hg -3.5976 -5.6551 -2.2866
Hg -5.1133 -8.5604 -2.0671
Hg 0.3311 -4.5821 -4.9157
Hg -0.5794 -10.2508 -9.2392
Hg -0.0608 -5.5820 -1.7351
Hg 1.5909 -2.7649 -2.0856
Hg 2.4043 -6.0901 -6.9652
Hg 3.9201 -3.1847 -7.1847
Hg -1.5244 -7.1630 -4.3361
Pb -1.8886 -8.2999 -1.2197
Pb 0.4431 -8.8822 -6.3724
Pb -1.6364 -2.8629 -2.8794
Pb 0.6953 -3.4453 -8.0321